Entry 1:
Density functional theory data (GGA-PBE) for a relaxed Li2CaW crystal.

a = 2.6635 Å, b = 5.0462 Å, c = 5.7979 Å
α = 90.00°, β = 91.43°, γ = 90.00°
Space group P2/m (No. 10)
Unique sites:
Li1 0.1268 0.0000 0.1979 [2 per cell]
Ca1 0.0000 0.5000 0.5000 [1 per cell]
W1 0.5000 0.5000 0.0000 [1 per cell]

Output
V: 19.476 Å³ per atom
E_form: 0.675 eV per atom

***

Entry 2:
Density functional theory data (GGA-PBE) for a relaxed Li2CaW crystal.

a = 2.6693 Å, b = 4.8797 Å, c = 5.9352 Å
α = 90.00°, β = 90.00°, γ = 90.00°
Space group Pmm2 (No. 25)
Unique sites:
Li1 0.0000 0.0000 0.0000 [1 per cell]
Li2 0.5000 0.5000 0.2625 [1 per cell]
Ca1 0.5000 0.5000 0.7284 [1 per cell]
W1 0.0000 0.0000 0.4685 [1 per cell]

Output
V: 19.327 Å³ per atom
E_form: 0.719 eV per atom

***

Entry 3:
Density functional theory data (GGA-PBE) for a relaxed Li2CaW crystal.

a = 5.0724 Å, b = 5.0724 Å, c = 2.7997 Å
α = 90.00°, β = 90.00°, γ = 90.00°
Space group P4/mmm (No. 123)
Unique sites:
Li1 0.0000 0.5000 0.0000 [2 per cell]
Ca1 0.0000 0.0000 0.5000 [1 per cell]
W1 0.5000 0.5000 0.5000 [1 per cell]

Output
V: 18.009 Å³ per atom
E_form: 0.810 eV per atom

***

Entry 4:
Density functional theory data (GGA-PBE) for a relaxed LiCa4W crystal.

a = 9.2820 Å, b = 9.2820 Å, c = 9.2820 Å
α = 90.00°, β = 90.00°, γ = 90.00°
Space group F-43m (No. 216)
Unique sites:
Li1 0.0000 0.0000 0.0000 [4 per cell]
Ca1 0.1244 0.1244 0.3756 [16 per cell]
W1 0.2500 0.2500 0.7500 [4 per cell]

Output
V: 33.320 Å³ per atom
E_form: 1.084 eV per atom

***

So what do the calculations give for mass density? Going down the list: 5.07, 5.11, 5.48, 2.92 g/cm3.